# PBE-GGA MgCuTe2, optimized geometry
data_MgCuTe2
_symmetry_space_group_name_H-M 'P 1'
_symmetry_Int_Tables_number 1
_cell_length_a 5.145
_cell_length_b 5.145
_cell_length_c 4.321
_cell_angle_alpha 107.18
_cell_angle_beta 107.18
_cell_angle_gamma 100.49
loop_
_symmetry_equiv_pos_as_xyz
'x,y,z'
loop_
_atom_site_label
_atom_site_type_symbol
_atom_site_fract_x
_atom_site_fract_y
_atom_site_fract_z
Mg1 Mg 0.000 0.000 0.000
Cu1 Cu 0.500 0.500 0.000
Te1 Te 0.000 0.500 0.500
Te2 Te 0.500 0.000 0.500
# ΔE to the lowest computed polymorph = 0.240 eV per atom
# mass density = 5.71 g/cm³
# magnetic moment = 0.00 μB per formula unit